No. 1
Density functional theory data (PBE-GGA) for an optimized crystal structure of Nd6Te3AuS2.

Symmetry ... No. 12
E_form (uncorrected) ... -1.522 eV per atom

Unit cell a=7.4207 b=7.4207 c=7.6319 alpha=99.34 beta=99.34 gamma=119.88
With the nearest neighbours (Å) after each atom.
Fractional coordinates of all 12 atoms:
1 Nd 0.5820 0.9265 0.7768  2 S 2.92-2.93, 1 Au 3.02, 3 Te 3.15-3.22
2 Nd 0.7284 0.7284 0.2193  2 S 2.90, 1 Au 3.01, 3 Te 3.14-3.20
3 S 0.6665 0.3335 0.0000  6 Nd 2.90-2.93
4 S 0.3335 0.6665 0.0000  6 Nd 2.90-2.93
5 Nd 0.9265 0.5820 0.7768  2 S 2.92-2.93, 1 Au 3.02, 3 Te 3.15-3.22
6 Au 0.0000 0.0000 0.0000  6 Nd 3.01-3.02
7 Nd 0.2716 0.2716 0.7807  2 S 2.90, 1 Au 3.01, 3 Te 3.14-3.20
8 Nd 0.0735 0.4180 0.2232  2 S 2.92-2.93, 1 Au 3.02, 3 Te 3.15-3.22
9 Te 0.1634 0.8366 0.5000  6 Nd 3.15-3.21
10 Te 0.5000 0.5000 0.5000  6 Nd 3.14-3.22
11 Te 0.8366 0.1634 0.5000  6 Nd 3.15-3.21
12 Nd 0.4180 0.0735 0.2232  2 S 2.92-2.93, 1 Au 3.02, 3 Te 3.15-3.22

No. 2
Density functional theory data (PBE-GGA) for an optimized crystal structure of Zr12Al3Cd.

Symmetry ... No. 123
Energy relative to the elements ... -0.245 eV/atom

Unit cell a=4.4083 b=4.4083 c=17.5856 alpha=90.00 beta=90.00 gamma=90.00
With the nearest neighbours (Å) after each atom.
Fractional coordinates of all 16 atoms:
1 Zr 0.5000 0.0000 0.6238  4 Al 3.10-3.11, 8 Zr 3.10-3.12
2 Al 0.0000 0.0000 0.2512  12 Zr 3.07-3.12
3 Al 0.0000 0.0000 0.7488  12 Zr 3.07-3.12
4 Zr 0.5000 0.5000 0.5000  8 Zr 3.10, 4 Al 3.12
5 Zr 0.5000 0.0000 0.1296  2 Al 3.07, 8 Zr 3.08-3.17, 2 Cd 3.17
6 Zr 0.5000 0.0000 0.3762  4 Al 3.10-3.11, 8 Zr 3.10-3.12
7 Zr 0.0000 0.5000 0.1296  2 Al 3.07, 8 Zr 3.08-3.17, 2 Cd 3.17
8 Zr 0.5000 0.5000 0.7477  8 Zr 3.08-3.10, 4 Al 3.12
9 Zr 0.5000 0.5000 0.2523  8 Zr 3.08-3.10, 4 Al 3.12
10 Zr 0.0000 0.5000 0.6238  8 Zr 3.10-3.12, 4 Al 3.10-3.11
11 Zr 0.5000 0.5000 0.0000  4 Cd 3.12, 8 Zr 3.17
12 Al 0.0000 0.0000 0.5000  12 Zr 3.10-3.12
13 Zr 0.5000 0.0000 0.8704  2 Al 3.07, 8 Zr 3.08-3.17, 2 Cd 3.17
14 Zr 0.0000 0.5000 0.8704  2 Al 3.07, 8 Zr 3.08-3.17, 2 Cd 3.17
15 Zr 0.0000 0.5000 0.3762  8 Zr 3.10-3.12, 4 Al 3.10-3.11
16 Cd 0.0000 0.0000 0.0000  12 Zr 3.12-3.17

No. 3
Density functional theory data (PBE-GGA) for an optimized crystal structure of Cd4PtAu3.

Symmetry ... No. 51
Energy relative to the elements ... -0.203 eV/atom

Unit cell a=5.0406 b=6.0953 c=9.8332 alpha=90.00 beta=90.00 gamma=90.00
With the nearest neighbours (Å) after each atom.
Fractional coordinates of all 16 atoms:
1 Au 0.3999 0.0000 0.2500  8 Cd 2.95-2.96, 4 Au 3.05-3.18
2 Au 0.6119 0.5000 0.7500  8 Cd 2.89-2.98, 2 Au 3.05, 2 Pt 3.14
3 Cd 0.5000 0.7447 0.0000  2 Pt 2.93, 6 Au 2.93-2.96, 4 Cd 2.98-3.18
4 Cd 0.5000 0.7447 0.5000  2 Pt 2.93, 6 Au 2.93-2.96, 4 Cd 2.98-3.18
5 Cd 0.1010 0.2539 0.7500  6 Au 2.89-2.98, 2 Pt 2.92, 4 Cd 3.00-3.18
6 Au 0.3881 0.5000 0.2500  8 Cd 2.89-2.98, 2 Au 3.05, 2 Pt 3.14
7 Au 0.6001 0.0000 0.7500  8 Cd 2.95-2.96, 4 Au 3.05-3.18
8 Pt 0.0000 0.5000 0.0000  8 Cd 2.92-2.93, 4 Au 3.05-3.14
9 Cd 0.1010 0.7461 0.7500  6 Au 2.89-2.98, 2 Pt 2.92, 4 Cd 3.00-3.18
10 Au 0.0000 0.0000 0.5000  8 Cd 2.95-2.96, 2 Pt 3.05, 2 Au 3.18
11 Cd 0.8990 0.2539 0.2500  6 Au 2.89-2.98, 2 Pt 2.92, 4 Cd 3.00-3.18
12 Cd 0.8990 0.7461 0.2500  6 Au 2.89-2.98, 2 Pt 2.92, 4 Cd 3.00-3.18
13 Cd 0.5000 0.2553 0.5000  2 Pt 2.93, 6 Au 2.93-2.96, 4 Cd 2.98-3.18
14 Pt 0.0000 0.5000 0.5000  8 Cd 2.92-2.93, 4 Au 3.05-3.14
15 Au 0.0000 0.0000 0.0000  8 Cd 2.95-2.96, 2 Pt 3.05, 2 Au 3.18
16 Cd 0.5000 0.2553 0.0000  2 Pt 2.93, 6 Au 2.93-2.96, 4 Cd 2.98-3.18

No. 4
Density functional theory data (PBE-GGA) for an optimized crystal structure of Mn2SiI.

Symmetry ... No. 25
Energy relative to the lowest polymorph listed for this composition ... 0.2784 eV per atom
E_form (uncorrected) ... 0.404 eV per atom

Unit cell a=3.1229 b=3.3485 c=8.4088 alpha=90.00 beta=90.00 gamma=90.00
With the nearest neighbours (Å) after each atom.
Fractional coordinates of all 4 atoms:
1 Mn 0.0000 0.0000 0.4982  4 Si 2.38
2 I 0.5000 0.0000 0.0298  2 Mn 2.74
3 Si 0.5000 0.5000 0.5765  5 Mn 2.38-2.43
4 Mn 0.5000 0.5000 0.2879  1 Si 2.43

No. 5
Density functional theory data (PBE-GGA) for an optimized crystal structure of TbAsRu2C.

Symmetry ... No. 63
Energy relative to the elements ... -0.539 eV/atom

Unit cell a=3.8982 b=5.9206 c=7.2772 alpha=90.00 beta=90.00 gamma=109.22
With the nearest neighbours (Å) after each atom.
Fractional coordinates of all 10 atoms:
1 Tb 0.5440 0.0880 0.2500  4 C 2.71
2 Ru 0.1621 0.3242 0.5528  1 C 1.85
3 Ru 0.1621 0.3242 0.9472  1 C 1.85
4 Ru 0.8379 0.6758 0.4472  1 C 1.85
5 As 0.2683 0.5366 0.2500  6 Ru 2.50-2.54
6 Ru 0.8379 0.6758 0.0528  1 C 1.85
7 Tb 0.4560 0.9120 0.7500  4 C 2.71
8 C 0.0000 0.0000 0.0000  2 Ru 1.85
9 As 0.7317 0.4634 0.7500  6 Ru 2.50-2.54
10 C 0.0000 0.0000 0.5000  2 Ru 1.85

No. 6
Density functional theory data (PBE-GGA) for an optimized crystal structure of Th4Pd2Rh5.

Symmetry ... No. 69
Energy relative to the elements ... -0.372 eV/atom

Unit cell a=5.1990 b=7.7917 c=7.6926 alpha=83.53 beta=70.25 gamma=70.51
With the nearest neighbours (Å) after each atom.
Fractional coordinates of all 11 atoms:
1 Th 0.2349 0.2636 0.2666  5 Rh 2.73-2.90, 1 Pd 3.01
2 Rh 0.5000 0.0000 0.0000  4 Th 2.73
3 Rh 0.5000 0.5000 0.0000  2 Rh 2.60, 4 Th 2.90
4 Th 0.7651 0.7364 0.7334  5 Rh 2.73-2.90, 1 Pd 3.01
5 Th 0.5015 0.2636 0.7334  5 Rh 2.73-2.90, 1 Pd 3.01
6 Rh 0.7500 0.5000 0.5000  2 Rh 2.60, 4 Th 2.75
7 Th 0.4985 0.7364 0.2666  5 Rh 2.73-2.90, 1 Pd 3.01
8 Rh 0.2500 0.5000 0.5000  2 Rh 2.60, 4 Th 2.75
9 Pd 0.7927 0.0000 0.4146  2 Pd 2.88, 2 Th 3.01
10 Rh 0.0000 0.5000 0.0000  2 Rh 2.60, 4 Th 2.90
11 Pd 0.2073 0.0000 0.5854  2 Pd 2.88, 2 Th 3.01

No. 7
Density functional theory data (PBE-GGA) for an optimized crystal structure of LaAlGa4Ag2.

Symmetry ... No. 166
Energy relative to the elements ... -0.213 eV/atom

Unit cell a=4.5942 b=4.5942 c=9.2578 alpha=75.63 beta=75.63 gamma=60.00
With the nearest neighbours (Å) after each atom.
Fractional coordinates of all 8 atoms:
1 Ga 0.8712 0.8712 0.3865  3 Al 2.84, 4 Ag 2.85-3.05, 3 Ga 3.15
2 Ga 0.3984 0.3984 0.8049  1 Al 2.70, 3 Ag 2.73
3 Ga 0.6016 0.6016 0.1951  1 Al 2.70, 3 Ag 2.73
4 Al 0.5000 0.5000 0.5000  8 Ga 2.70-2.84
5 Ga 0.1288 0.1288 0.6135  3 Al 2.84, 4 Ag 2.85-3.05, 3 Ga 3.15
6 Ag 0.7565 0.7565 0.7304  7 Ga 2.73-3.05
7 La 0.0000 0.0000 0.0000  8 Ga 3.17-3.43
8 Ag 0.2435 0.2435 0.2696  7 Ga 2.73-3.05

No. 8
Density functional theory data (PBE-GGA) for an optimized crystal structure of CaMoPt2W.

Symmetry ... No. 123
Energy relative to the elements ... 0.735 eV/atom

Unit cell a=4.9939 b=4.6454 c=4.9939 alpha=90.00 beta=90.00 gamma=90.00
With the nearest neighbours (Å) after each atom.
Fractional coordinates of all 5 atoms:
1 W 0.0000 0.5000 0.0000  2 Mo 2.32
2 Ca 0.5000 0.5000 0.5000  8 Pt 3.41, 4 W 3.53
3 Pt 0.5000 0.0000 0.0000  2 Mo 2.50
4 Mo 0.0000 0.0000 0.0000  2 W 2.32, 4 Pt 2.50
5 Pt 0.0000 0.0000 0.5000  2 Mo 2.50

no.,DOS at the Fermi energy (states/eV/f.u.),magnetization (μB/cell)
1,6.27,0.0
2,14.88,0.0
3,1.65,0.0
4,3.88,5.9
5,2.38,0.0
6,9.10,0.0
7,3.21,0.0
8,4.04,1.1